#A
Material: Mo2PPb
Method: DFT, GGA-PBE
State: relaxed

M_tot: 0.00 μB per cell

a = 5.127 Å, b = 5.127 Å, c = 5.127 Å
α = 142.00°, β = 118.06°, γ = 75.02°
Element x y z (fractional)
Mo  0.800  0.800  0.000
Mo  0.200  0.200  0.000
P  0.000  0.500  0.500
Pb  0.500  0.000  0.500

***

#B
Material: Mo2PPb
Method: DFT, GGA-PBE
State: relaxed

M_tot: 0.00 μB per cell

a = 4.630 Å, b = 4.630 Å, c = 4.630 Å
α = 60.00°, β = 60.00°, γ = 60.00°
Element x y z (fractional)
Mo  0.000  0.000  0.000
Mo  0.250  0.250  0.250
P  0.500  0.500  0.500
Pb  0.750  0.750  0.750

***

#C
Material: Mo2PPb
Method: DFT, GGA-PBE
State: relaxed

M_tot: 0.00 μB per cell

a = 3.136 Å, b = 3.136 Å, c = 7.043 Å
α = 90.00°, β = 90.00°, γ = 90.00°
Element x y z (fractional)
Mo  0.000  0.000  0.817
Mo  0.000  0.000  0.183
P  0.500  0.500  0.000
Pb  0.500  0.500  0.500

***

#D
Material: Mo2PPb
Method: DFT, GGA-PBE
State: relaxed

M_tot: 0.00 μB per cell

a = 7.376 Å, b = 7.376 Å, c = 7.376 Å
α = 27.45°, β = 27.45°, γ = 27.45°
Element x y z (fractional)
Mo  0.222  0.222  0.222
Mo  0.778  0.778  0.778
P  0.500  0.500  0.500
Pb  0.000  0.000  0.000

***

Bottom line: #D, by a margin of 62 meV/atom.